Here is crystalline Tm3P2 at its relaxed geometry from OQMD. Energies are from PBE-GGA.

Results
Crystal system   trigonal
Space-group type   No. 164
Volume   121.84 Å³/cell
Total energy   -30.5 eV/cell

abc: 3.9023 3.9023 9.2392
angles: 90.00 90.00 120.00
Last column: nearest neighbours and their distance in Å.
Sites, in units of the cell vectors:
P 0.3333 0.6667 0.1764  6 Tm 2.70-2.78
P 0.6667 0.3333 0.8236  6 Tm 2.70-2.78
Tm 0.0000 0.0000 0.0000  6 P 2.78
Tm 0.6667 0.3333 0.3371  3 P 2.70
Tm 0.3333 0.6667 0.6629  3 P 2.70



Here is crystalline LuHgAsO at its relaxed geometry from OQMD. Energies are from PBE-GGA.

Results
Crystal system   tetragonal
Space-group type   No. 129
Volume   149.82 Å³/cell
Total energy   -41.0 eV/cell

abc: 4.0511 4.0511 9.1294
angles: 90.00 90.00 90.00
Last column: nearest neighbours and their distance in Å.
Sites, in units of the cell vectors:
As 0.7500 0.7500 0.2843  4 Hg 2.83
As 0.2500 0.2500 0.7157  4 Hg 2.83
Hg 0.7500 0.2500 0.5000  4 As 2.83, 4 Hg 2.86
Hg 0.2500 0.7500 0.5000  4 As 2.83, 4 Hg 2.86
Lu 0.2500 0.2500 0.1060  4 O 2.24
Lu 0.7500 0.7500 0.8940  4 O 2.24
O 0.7500 0.2500 0.0000  4 Lu 2.24
O 0.2500 0.7500 0.0000  4 Lu 2.24



Here is crystalline CsBaGeAu at its relaxed geometry from OQMD. Energies are from PBE-GGA.

Results
Crystal system   cubic
Space-group type   No. 216
Volume   123.18 Å³/cell
Offset from the most stable computed form   0.008 eV/atom

abc: 5.5849 5.5849 5.5849
angles: 60.00 60.00 60.00
Last column: nearest neighbours and their distance in Å.
Sites, in units of the cell vectors:
Au 0.7500 0.7500 0.7500  4 Ge 3.42, 4 Ba 3.42
Ba 0.5000 0.5000 0.5000  4 Au 3.42, 4 Cs 3.42
Cs 0.2500 0.2500 0.2500  4 Ge 3.42, 4 Ba 3.42
Ge 0.0000 0.0000 0.0000  4 Au 3.42, 4 Cs 3.42



Here is crystalline Ir2Br at its relaxed geometry from OQMD. Energies are from PBE-GGA.

Results
Crystal system   cubic
Space-group type   No. 227
Volume   107.76 Å³/cell
Total energy   -30.4 eV/cell

abc: 5.3415 5.3415 5.3415
angles: 60.00 60.00 60.00
Last column: nearest neighbours and their distance in Å.
Sites, in units of the cell vectors:
Br 0.0000 0.0000 0.0000  12 Ir 3.13, 4 Br 3.27
Br 0.2500 0.2500 0.2500  12 Ir 3.13, 4 Br 3.27
Ir 0.6250 0.6250 0.1250  6 Ir 2.67
Ir 0.6250 0.1250 0.6250  6 Ir 2.67
Ir 0.1250 0.6250 0.6250  6 Ir 2.67
Ir 0.6250 0.6250 0.6250  6 Ir 2.67



Here is crystalline UInPt at its relaxed geometry from OQMD. Energies are from PBE-GGA.

Results
Crystal system   cubic
Space-group type   No. 216
Volume   72.33 Å³/cell
Total energy   -21.0 eV/cell

abc: 4.6768 4.6768 4.6768
angles: 60.00 60.00 60.00
Last column: nearest neighbours and their distance in Å.
Sites, in units of the cell vectors:
In 0.2500 0.2500 0.2500  4 Pt 2.86
Pt 0.0000 0.0000 0.0000  4 U 2.86, 4 In 2.86
U 0.7500 0.7500 0.7500  4 Pt 2.86



Here is crystalline PmDy at its relaxed geometry from OQMD. Energies are from PBE-GGA.

Results
Crystal system   cubic
Calculated formation energy   1.78 eV/atom
Space-group type   No. 216
Volume   85.83 Å³/cell
Offset from the most stable computed form   1.757 eV/atom

abc: 4.9514 4.9514 4.9514
angles: 60.00 60.00 60.00
Last column: nearest neighbours and their distance in Å.
Sites, in units of the cell vectors:
Dy 0.0000 0.0000 0.0000  4 Pm 3.03
Pm 0.2500 0.2500 0.2500  4 Dy 3.03